Entry 1:
Here is a geometry-optimized TlSiI3 structure from the Alexandria database. Energies are from GGA-PBE.

As for the calculated volume: 189.9 Å³ per cell. For the formation energy (no corrections), the calculation gives -0.24 eV per atom. For the density of states at the Fermi level, the calculation gives 0.00 states/eV/cell. The value obtained for the excess energy over the best structure of this formula in the dataset is 0 meV/atom.

It has space group Pm-3m (No. 221), with a = 5.7477 Å, b = 5.7477 Å, c = 5.7477 Å, α = 90.00°, β = 90.00° and γ = 90.00°. The distinct sites, in fractional coordinates, are Tl at (0.0000, 0.0000, 0.0000), Si at (0.5000, 0.5000, 0.5000) and I at (0.0000, 0.5000, 0.5000).


Entry 2:
Here is a geometry-optimized Pu8NiRh5 structure from the Alexandria database. Energies are from GGA-PBE.

The calculation puts the calculated formation energy at -0.319 eV per atom. As for the calculated volume: 611.1 Å³ per cell. For the density of states at the Fermi level, the calculation gives 121.99 states/eV/cell.

It has space group I-4 (No. 82), with a = 8.5032 Å, b = 8.5032 Å, c = 8.4521 Å, α = 90.00°, β = 90.00° and γ = 90.00°. The distinct sites, in fractional coordinates, are Pu at (0.0677, 0.3207, 0.4479), Pu at (0.0705, 0.1824, 0.8052), Ni at (0.0000, 0.5000, 0.7500), Rh at (0.0000, 0.0000, 0.5000) and Rh at (0.1255, 0.2482, 0.1274).


Entry 3:
Here is a geometry-optimized La2TmBr structure from the Alexandria database. Energies are from GGA-PBE.

As for the calculated volume: 390.9 Å³ per cell. For the formation energy (no corrections), the calculation gives -0.56 eV per atom. For the density of states at the Fermi level, the calculation gives 12.85 states/eV/cell. The value obtained for the excess energy over the best structure of this formula in the dataset is 0 meV/atom.

It has space group R-3m (No. 166, hexagonal axes), with a = 3.7364 Å, b = 3.7364 Å, c = 32.3277 Å, α = 90.00°, β = 90.00° and γ = 120.00°. The distinct sites, in fractional coordinates, are La at (0.0000, 0.0000, 0.2434), Tm at (0.0000, 0.0000, 0.0000) and Br at (0.0000, 0.0000, 0.5000).


- What is the calculated volume in the second record?
  611.1 Å³ per cell


What did the first record say?
Here is a geometry-optimized TlSiI3 structure from the Alexandria database. Energies are from GGA-PBE.

As for the calculated volume: 189.9 Å³ per cell. For the formation energy (no corrections), the calculation gives -0.24 eV per atom. For the density of states at the Fermi level, the calculation gives 0.00 states/eV/cell. The value obtained for the excess energy over the best structure of this formula in the dataset is 0 meV/atom.

It has space group Pm-3m (No. 221), with a = 5.7477 Å, b = 5.7477 Å, c = 5.7477 Å, α = 90.00°, β = 90.00° and γ = 90.00°. The distinct sites, in fractional coordinates, are Tl at (0.0000, 0.0000, 0.0000), Si at (0.5000, 0.5000, 0.5000) and I at (0.0000, 0.5000, 0.5000).


- What is the calculated volume in the third record?
  390.9 Å³ per cell